Entry 1:
Computed, not measured: a geometry-optimized Rb2PtAuO4 structure at the GGA-PBE level of DFT.

a b c (Å): 6.1455 14.0369 19.9415
angles (deg): 90.00 90.00 90.00
Last column: nearest neighbours and their distance in Å.
Space group Fddd (No. 70, origin choice 2)
Symmetry-distinct sites (fractional):
Rb: 0.1250 0.1250 0.2961 [16 per cell]  2 O 2.72
Pt: 0.1250 0.1250 0.1250 [8 per cell]  4 O 2.01
Au: 0.1250 0.1250 0.6250 [8 per cell]  4 O 2.02
O: 0.1238 0.2822 0.3756 [32 per cell]  1 Pt 2.01, 1 Au 2.02

Computed properties:
* formation energy from raw total energies: -763 meV/atom
* spin magnetization: 0.130 μB per atom
* density of states at the Fermi level: 29.1 states/eV/cell
* crystal system: orthorhombic


Entry 2:
Computed, not measured: a geometry-optimized CsSF5 structure at the GGA-PBE level of DFT.

a b c (Å): 5.3029 6.5351 8.3144
angles (deg): 90.11 104.92 90.04
Last column: nearest neighbours and their distance in Å.
Space group P-1 (No. 2)
Symmetry-distinct sites (fractional):
Cs: 0.1923 0.2487 0.2911 [2 per cell]  12 F 3.16-3.52
S: 0.2978 0.2520 0.8008 [2 per cell]  5 F 1.63-1.82
F: 0.0092 0.7487 0.2995 [2 per cell]  1 S 1.63
F: 0.2156 0.0653 0.9277 [2 per cell]  1 S 1.74
F: 0.2157 0.4395 0.9273 [2 per cell]  1 S 1.74
F: 0.3284 0.4490 0.6531 [2 per cell]  1 S 1.82
F: 0.3286 0.0536 0.6535 [2 per cell]  1 S 1.82

Computed properties:
* formation energy from raw total energies: -2031 meV/atom
* spin magnetization: 0.000 μB per atom
* density of states at the Fermi level: 0.0 states/eV/cell
* crystal system: triclinic


Entry 3:
Computed, not measured: a geometry-optimized Ti10BiPb9O30 structure at the GGA-PBE level of DFT.

a b c (Å): 8.6235 8.6236 10.1576
angles (deg): 109.85 99.77 90.00
Last column: nearest neighbours and their distance in Å.
Space group P1 (No. 1)
Symmetry-distinct sites (fractional):
Ti: 0.0000 0.0000 0.0000 [1 per cell]  2 O 1.75-1.96
Ti: 0.0927 0.1960 0.4971 [1 per cell]  1 O 1.77
Ti: 0.1959 0.3975 0.9994 [1 per cell]  1 O 1.75
Ti: 0.2950 0.5964 0.4964 [1 per cell]  1 O 1.76
Ti: 0.3915 0.7948 0.9996 [1 per cell]  2 O 1.75-1.96
Ti: 0.4979 0.9970 0.4974 [1 per cell]  1 O 1.77
Ti: 0.5928 0.2017 0.9999 [1 per cell]  2 O 1.75-1.96
Ti: 0.6955 0.3941 0.4973 [1 per cell]  1 O 1.77
Ti: 0.7983 0.5937 0.9999 [1 per cell]  2 O 1.75-1.96
Ti: 0.8947 0.7988 0.4973 [1 per cell]  1 O 1.77
Bi: 0.7358 0.9783 0.2012 [1 per cell]  4 O 2.29
Pb: 0.0389 0.5853 0.7170 [1 per cell]  4 O 2.47-2.50
Pb: 0.1388 0.7864 0.2246 [1 per cell]  4 O 2.46-2.55
Pb: 0.2403 0.9852 0.7170 [1 per cell]  4 O 2.47-2.50
Pb: 0.3424 0.1884 0.2247 [1 per cell]  4 O 2.46-2.55
Pb: 0.4372 0.3841 0.7170 [1 per cell]  4 O 2.47-2.50
Pb: 0.5398 0.5895 0.2247 [1 per cell]  4 O 2.46-2.55
Pb: 0.6394 0.7832 0.7174 [1 per cell]  4 O 2.47-2.50
Pb: 0.8406 0.1864 0.7218 [1 per cell]  4 O 2.48-2.49
Pb: 0.9415 0.3856 0.2243 [1 per cell]  4 O 2.46-2.55
O: 0.0062 0.0201 0.5544 [1 per cell]  2 Ti 1.99
O: 0.0084 0.5241 0.0542 [1 per cell]  2 Ti 1.96-2.00
O: 0.0459 0.1201 0.3093 [1 per cell]  1 Ti 1.77
O: 0.1018 0.2211 0.0541 [1 per cell]  2 Ti 1.96-2.00
O: 0.1057 0.7187 0.5493 [1 per cell]  2 Ti 1.99-2.00
O: 0.1592 0.3229 0.8127 [1 per cell]  1 Ti 1.75
O: 0.2043 0.4175 0.5493 [1 per cell]  2 Ti 2.00
O: 0.2063 0.9185 0.0524 [1 per cell]  2 Ti 1.97
O: 0.2576 0.5213 0.3088 [1 per cell]  1 Ti 1.76
O: 0.3051 0.1164 0.5470 [1 per cell]  2 Ti 2.00
O: 0.3115 0.6177 0.0544 [1 per cell]  2 Ti 1.96-2.00
O: 0.3584 0.7217 0.8131 [1 per cell]  1 Ti 1.75
O: 0.4048 0.3148 0.0547 [1 per cell]  2 Ti 1.96-2.00
O: 0.4071 0.8173 0.5497 [1 per cell]  2 Ti 1.99-2.00
O: 0.4697 0.9227 0.3097 [1 per cell]  1 Ti 1.77
O: 0.5055 0.5162 0.5496 [1 per cell]  2 Ti 2.00
O: 0.5126 0.0183 0.0611 [1 per cell]  2 Ti 2.04
O: 0.5563 0.1227 0.8136 [1 per cell]  1 Ti 1.75
O: 0.6070 0.2188 0.5545 [1 per cell]  2 Ti 1.98-1.99
O: 0.6116 0.7270 0.0610 [1 per cell]  2 Ti 2.04
O: 0.6589 0.3098 0.3095 [1 per cell]  1 Ti 1.77
O: 0.7061 0.4185 0.0521 [1 per cell]  2 Ti 1.97
O: 0.7074 0.9198 0.5549 [1 per cell]  2 Ti 1.99
O: 0.7595 0.5241 0.8136 [1 per cell]  1 Ti 1.75
O: 0.8040 0.1171 0.0609 [1 per cell]  2 Ti 2.04-2.05
O: 0.8051 0.6166 0.5473 [1 per cell]  2 Ti 2.00
O: 0.8561 0.7330 0.3096 [1 per cell]  1 Ti 1.77
O: 0.9032 0.8259 0.0613 [1 per cell]  2 Ti 2.04
O: 0.9059 0.3191 0.5544 [1 per cell]  2 Ti 1.99
O: 0.9586 0.9234 0.8137 [1 per cell]  1 Ti 1.75

Computed properties:
* formation energy from raw total energies: -2292 meV/atom
* spin magnetization: 0.000 μB per atom
* density of states at the Fermi level: 5.6 states/eV/cell
* crystal system: triclinic


Entry 4:
Computed, not measured: a geometry-optimized LiAcUO5 structure at the GGA-PBE level of DFT.

a b c (Å): 7.1817 9.7841 8.0783
angles (deg): 90.00 115.22 90.00
Last column: nearest neighbours and their distance in Å.
Space group C2/c (No. 15)
Symmetry-distinct sites (fractional):
Li: 0.0000 0.1864 0.2500 [4 per cell]  4 O 2.01-2.05
Ac: 0.0000 0.1716 0.7500 [4 per cell]  5 O 2.47-2.63
U: 0.0000 0.5000 0.0000 [4 per cell]  6 O 2.01-2.15
O: 0.0000 0.4243 0.7500 [4 per cell]  2 U 2.15
O: 0.0977 0.2990 0.0873 [8 per cell]  1 Li 2.05, 1 U 2.11
O: 0.1988 0.0432 0.4054 [8 per cell]  1 U 2.01, 1 Li 2.01

Computed properties:
* formation energy from raw total energies: -3084 meV/atom
* spin magnetization: 0.000 μB per atom
* density of states at the Fermi level: 0.0 states/eV/cell
* crystal system: monoclinic


Entry 5:
Computed, not measured: a geometry-optimized LiTl2Bi structure at the GGA-PBE level of DFT.

a b c (Å): 5.0527 5.0527 17.1895
angles (deg): 90.00 90.00 90.00
Last column: nearest neighbours and their distance in Å.
Space group I4/mmm (No. 139)
Symmetry-distinct sites (fractional):
Li: 0.0000 0.5000 0.2500 [4 per cell]  4 Bi 3.06, 4 Tl 3.10
Tl: 0.0000 0.0000 0.1453 [4 per cell]  4 Li 3.10
Tl: 0.0000 0.5000 0.0000 [4 per cell]  8 Tl 3.55-3.57, 4 Bi 3.60
Bi: 0.0000 0.0000 0.3504 [4 per cell]  4 Li 3.06

Computed properties:
* ΔE_f: -4.46 kcal/mol of atoms
* spin magnetization: 0.000 μB per atom
* density of states at the Fermi level: 5.9 states/eV/cell
* crystal system: tetragonal


Entry 6:
Computed, not measured: a geometry-optimized InRh2Se structure at the GGA-PBE level of DFT.

a b c (Å): 3.1171 3.1171 6.7848
angles (deg): 90.00 90.00 90.00
Last column: nearest neighbours and their distance in Å.
Space group P4/mmm (No. 123)
Symmetry-distinct sites (fractional):
In: 0.0000 0.0000 0.0000 [1 per cell]  8 Rh 2.86, 4 In 3.12
Rh: 0.5000 0.5000 0.2694 [2 per cell]  4 Se 2.70, 4 In 2.86
Se: 0.0000 0.0000 0.5000 [1 per cell]  8 Rh 2.70

Computed properties:
* formation energy from raw total energies: -152 meV/atom
* spin magnetization: 0.000 μB per atom
* density of states at the Fermi level: 2.9 states/eV/cell
* crystal system: tetragonal


Entry 7:
Computed, not measured: a geometry-optimized Nb5Pt2Rh4 structure at the GGA-PBE level of DFT.

a b c (Å): 6.3336 15.1488 3.8182
angles (deg): 90.00 90.00 90.00
Last column: nearest neighbours and their distance in Å.
Space group Pbam (No. 55)
Symmetry-distinct sites (fractional):
Nb: 0.0000 0.0000 0.0000 [2 per cell]  8 Rh 2.77-2.79, 2 Nb 2.79
Nb: 0.1109 0.4137 0.0000 [4 per cell]  6 Rh 2.71-2.83, 2 Pt 2.71, 2 Nb 2.79-2.97
Nb: 0.1946 0.1893 0.0000 [4 per cell]  4 Pt 2.75-2.76, 4 Rh 2.84-2.97, 1 Nb 3.06
Pt: 0.0045 0.2943 0.5000 [4 per cell]  3 Rh 2.64-2.78, 6 Nb 2.71-2.76
Rh: 0.1010 0.8742 0.5000 [4 per cell]  2 Pt 2.64-2.78, 6 Nb 2.71-2.84, 2 Rh 2.82-2.90
Rh: 0.1984 0.5462 0.5000 [4 per cell]  1 Pt 2.74, 8 Nb 2.79-2.97, 3 Rh 2.82-2.90

Computed properties:
* ΔE_f: -8.42 kcal/mol of atoms
* spin magnetization: 0.000 μB per atom
* density of states at the Fermi level: 22.1 states/eV/cell
* crystal system: orthorhombic


Entry 8:
Computed, not measured: a geometry-optimized Pu4NpRu5 structure at the GGA-PBE level of DFT.

a b c (Å): 3.2491 3.2491 17.7123
angles (deg): 90.00 90.00 90.00
Last column: nearest neighbours and their distance in Å.
Space group P4/mmm (No. 123)
Symmetry-distinct sites (fractional):
Pu: 0.0000 0.0000 0.1016 [2 per cell]  8 Ru 2.92-3.07, 4 Pu 3.25
Pu: 0.0000 0.0000 0.3020 [2 per cell]  8 Ru 2.75-2.79
Np: 0.0000 0.0000 0.5000 [1 per cell]  8 Ru 2.99, 4 Np 3.25
Ru: 0.5000 0.5000 0.0000 [1 per cell]  8 Pu 2.92, 4 Ru 3.25
Ru: 0.5000 0.5000 0.2167 [2 per cell]  8 Pu 2.75-3.07
Ru: 0.5000 0.5000 0.3916 [2 per cell]  4 Pu 2.79, 4 Np 2.99, 1 Ru 3.10

Computed properties:
* ΔE_f: 3.65 kcal/mol of atoms
* spin magnetization: 1.266 μB per atom
* density of states at the Fermi level: 28.8 states/eV/cell
* crystal system: tetragonal


Entry 9:
Computed, not measured: a geometry-optimized Nb3MoI structure at the GGA-PBE level of DFT.

a b c (Å): 4.9588 4.9588 4.9588
angles (deg): 90.00 90.00 90.00
Last column: nearest neighbours and their distance in Å.
Space group Pm-3m (No. 221)
Symmetry-distinct sites (fractional):
Nb: 0.0000 0.0000 0.5000 [3 per cell]  2 I 2.48
Mo: 0.5000 0.5000 0.5000 [1 per cell]  12 Nb 3.51
I: 0.0000 0.0000 0.0000 [1 per cell]  6 Nb 2.48

Computed properties:
* formation energy from raw total energies: 2031 meV/atom
* spin magnetization: 0.302 μB per atom
* density of states at the Fermi level: 6.2 states/eV/cell
* crystal system: cubic


Entry 10:
Computed, not measured: a geometry-optimized CdAg4Au2 structure at the GGA-PBE level of DFT.

a b c (Å): 5.1533 5.1533 13.5177
angles (deg): 90.00 90.00 90.00
Last column: nearest neighbours and their distance in Å.
Space group I4/mmm (No. 139)
Symmetry-distinct sites (fractional):
Cd: 0.0000 0.0000 0.0000 [2 per cell]  6 Ag 2.58-2.71
Ag: 0.0000 0.0000 0.2008 [4 per cell]  1 Au 2.67, 1 Cd 2.71
Ag: 0.0000 0.5000 0.0000 [4 per cell]  2 Cd 2.58
Au: 0.0000 0.0000 0.3985 [4 per cell]  5 Ag 2.67-2.92, 1 Au 2.74

Computed properties:
* ΔE_f: 12.18 kcal/mol of atoms
* spin magnetization: 0.000 μB per atom
* density of states at the Fermi level: 5.1 states/eV/cell
* crystal system: tetragonal